1 | A relaxed structure of Tc2Sn2Pb. Source: the Alexandria database, functional PBE.

As for the crystal system: tetragonal. The value obtained for the density of states at the Fermi level is 0.818 states/eV/atom.

The structure belongs to space group P4/mbm (No. 127); the cell edges are 8.219, 8.219 and 3.038 Å and the angles 90.00°, 90.00° and 90.00°. The asymmetric unit holds Tc at (0.147, 0.353, 0.000), Sn at (0.143, 0.643, 0.500) and Pb at (0.000, 0.000, 0.500).

2 | A relaxed structure of Tc2Sn2Pb. Source: the Alexandria database, functional PBE.

As for the crystal system: tetragonal. The value obtained for the density of states at the Fermi level is 1.189 states/eV/atom.

The structure belongs to space group P4/mbm (No. 127); the cell edges are 7.667, 7.667 and 3.382 Å and the angles 90.00°, 90.00° and 90.00°. The asymmetric unit holds Tc at (0.149, 0.351, 0.000), Sn at (0.146, 0.646, 0.500) and Pb at (0.000, 0.000, 0.000).

What should be chosen as the least stable of them? Choose 1.

1 | A relaxed structure of Tc2Sn2Pb. Source: the Alexandria database, functional PBE.

As for the crystal system: tetragonal. The value obtained for the density of states at the Fermi level is 0.641 states/eV/atom.

The structure belongs to space group I4/mmm (No. 139); the cell edges are 3.611, 3.611 and 18.058 Å and the angles 90.00°, 90.00° and 90.00°. The asymmetric unit holds Tc at (0.000, 0.500, 0.250), Sn at (0.000, 0.000, 0.126) and Pb at (0.000, 0.000, 0.500).

2 | A relaxed structure of Tc2Sn2Pb. Source: the Alexandria database, functional PBE.

As for the crystal system: tetragonal. The value obtained for the density of states at the Fermi level is 0.730 states/eV/atom.

The structure belongs to space group I4/mmm (No. 139); the cell edges are 4.749, 4.749 and 10.299 Å and the angles 90.00°, 90.00° and 90.00°. The asymmetric unit holds Tc at (0.000, 0.000, 0.109), Sn at (0.000, 0.500, 0.250) and Pb at (0.000, 0.000, 0.500).

What should be chosen as the least stable of them? Choose 2.